## Ba2Cu6GePt (PBE-GGA)

Data for a relaxed Ba2Cu6GePt crystal.

Cell lengths 6.3761, 6.8741, 6.9665 Å; angles 54.74, 62.24, 89.96 degrees
Element x y z (fractional)
Ba 0.7907 0.2074 0.4166
Ba 0.2093 0.7926 0.5834
Cu 0.2450 0.3592 0.5026
Cu 0.6390 0.7527 0.1103
Cu 0.2459 0.7496 0.1166
Cu 0.7541 0.2504 0.8834
Cu 0.3610 0.2473 0.8897
Cu 0.7550 0.6408 0.4974
Ge 0.0000 0.0000 0.0000
Pt 0.5000 0.5000 0.0000

Summary:
The calculation puts the total moment at 0.000 μB per cell. The formation energy is -190 meV per atom. The raw total energy comes out at -40.98 eV per cell. The space group is P-1 (2).

---

## SrGdCu2 (PBE-GGA)

Data for a relaxed SrGdCu2 crystal.

Cell lengths 3.6484, 3.6484, 7.2981 Å; angles 90.00, 90.00, 90.00 degrees
Site moments in Bohr magnetons follow the coordinates.
Element x y z (fractional)
Sr 0.5000 0.5000 0.5000  0.01
Gd 0.5000 0.5000 0.0000  7.04
Cu 0.0000 0.0000 0.8009  0.00
Cu 0.0000 0.0000 0.1991  0.00

Summary:
The value obtained for the energy above the most stable polymorph in this dataset is 0.00 eV per formula unit. The calculation puts the total moment at 7.290 μB per cell. The formation energy is -103 meV per atom. The raw total energy comes out at -24.37 eV per cell. The space group is P4/mmm (123).

---

## Mn2BiPb (PBE-GGA)

Data for a relaxed Mn2BiPb crystal.

Cell lengths 7.7247, 7.7247, 6.3509 Å; angles 52.54, 52.54, 90.00 degrees
Site moments in Bohr magnetons follow the coordinates.
Element x y z (fractional)
Pb 0.5000 0.5000 0.0000  -0.13
Pb 0.2500 0.7500 0.5000  -0.13
Mn 0.6256 0.1250 0.2500  3.79
Mn 0.1244 0.6250 0.2500  3.79
Mn 0.3750 0.3744 0.7500  3.80
Mn 0.8750 0.8756 0.7500  3.79
Bi 0.0000 0.0000 0.0000  -0.17
Bi 0.7500 0.2500 0.5000  -0.17

Summary:
The value obtained for the energy above the most stable polymorph in this dataset is 0.00 eV per formula unit. The calculation puts the total moment at 15.346 μB per cell. The formation energy is 569 meV per atom. The raw total energy comes out at -47.30 eV per cell. The space group is I-42d (122).

---

## CuBiAs2C (PBE-GGA)

Data for a relaxed CuBiAs2C crystal.

Cell lengths 4.2933, 5.0859, 4.2933 Å; angles 90.00, 90.00, 90.00 degrees
Element x y z (fractional)
C 0.0000 0.0000 0.0000
As 0.0000 0.0000 0.5000
As 0.5000 0.0000 0.0000
Bi 0.0000 0.5000 0.0000
Cu 0.5000 0.5000 0.5000

Summary:
The calculation puts the total moment at 0.000 μB per cell. The formation energy is 1105 meV per atom. The raw total energy comes out at -20.97 eV per cell. The space group is P4/mmm (123).

---

| no. | D(E_F) (states/eV/f.u.) |
| --- | --- |
| 1 | 5.31 |
| 2 | 3.61 |
| 3 | 3.49 |
| 4 | 2.11 |